Entry 1:
The following is a DFT calculation (PBEsol) of a geometry-optimized InRuW2O structure.

a = 4.6262 Å, b = 4.6262 Å, c = 5.0039 Å
α = 90.00°, β = 90.00°, γ = 90.00°
Space group P4/mmm (No. 123)
Symmetry-distinct sites (fractional):
In: 0.0000 0.0000 0.0000
Ru: 0.0000 0.0000 0.5000
W: 0.0000 0.5000 0.5000
O: 0.5000 0.5000 0.0000

Results
total energy	-7.183	eV per atom
formation energy (no corrections)	2.02	eV/atom
spin magnetization	1.8	μB per formula unit

---

Entry 2:
The following is a DFT calculation (PBEsol) of a geometry-optimized In2S3O12 structure.

a = 8.5388 Å, b = 8.8737 Å, c = 14.6059 Å
α = 90.00°, β = 124.64°, γ = 90.00°
Space group P2_1/c (No. 14)
Symmetry-distinct sites (fractional):
In: 0.1344 0.0327 0.3859
In: 0.3660 0.0367 0.1149
S: 0.0386 0.6180 0.6461
S: 0.2586 0.1210 0.6554
S: 0.4564 0.7470 0.9963
O: 0.0417 0.7296 0.1884
O: 0.1196 0.5075 0.7376
O: 0.1295 0.0812 0.6887
O: 0.1565 0.6163 0.6008
O: 0.1597 0.1021 0.5342
O: 0.1608 0.0769 0.9413
O: 0.2664 0.6822 0.9532
O: 0.3114 0.2189 0.1866
O: 0.3973 0.1310 0.4380
O: 0.4296 0.0232 0.7140
O: 0.4609 0.7012 0.4013
O: 0.4930 0.6266 0.5718

Results
total energy	-6.308	eV per atom
formation energy (no corrections)	-1.48	eV/atom
spin magnetization	0.0	μB per formula unit

---

Entry 3:
The following is a DFT calculation (PBEsol) of a geometry-optimized In2S3O12 structure.

a = 8.4694 Å, b = 8.4694 Å, c = 23.3084 Å
α = 90.00°, β = 90.00°, γ = 120.00°
Space group R-3 (No. 148, hexagonal axes)
Symmetry-distinct sites (fractional):
In: 0.0000 0.0000 0.1450
In: 0.0000 0.0000 0.3475
S: 0.0015 0.7078 0.7498
O: 0.0110 0.2175 0.1942
O: 0.0466 0.8273 0.0890
O: 0.0893 0.8522 0.3989
O: 0.0889 0.8546 0.7063

Results
total energy	-6.309	eV per atom
formation energy (no corrections)	-1.48	eV/atom
spin magnetization	0.0	μB per formula unit

---

Entry 4:
The following is a DFT calculation (PBEsol) of a geometry-optimized InSbO4 structure.

a = 7.5264 Å, b = 5.2538 Å, c = 7.4510 Å
α = 90.00°, β = 100.81°, γ = 90.00°
Space group P2_1/c (No. 14)
Symmetry-distinct sites (fractional):
In: 0.1577 0.2422 0.3584
Sb: 0.3313 0.7470 0.1848
O: 0.0998 0.5663 0.1842
O: 0.1903 0.0542 0.1034
O: 0.3231 0.6013 0.9354
O: 0.4320 0.0788 0.8084

Results
total energy	-6.292	eV per atom
formation energy (no corrections)	-1.54	eV/atom
spin magnetization	0.0	μB per formula unit

---

Entry 5:
The following is a DFT calculation (PBEsol) of a geometry-optimized In11Sb3O24 structure.

a = 8.0694 Å, b = 8.1008 Å, c = 8.1528 Å
α = 71.20°, β = 72.05°, γ = 72.19°
Space group P1 (No. 1)
Symmetry-distinct sites (fractional):
In: 0.0000 0.0000 0.0000
In: 0.0181 0.7998 0.6714
In: 0.1252 0.6055 0.3194
In: 0.1913 0.3311 0.9706
In: 0.2971 0.1346 0.6097
In: 0.3311 0.9308 0.2845
In: 0.4834 0.5064 0.5014
In: 0.5178 0.2978 0.1834
In: 0.6983 0.8252 0.4566
In: 0.8018 0.6331 0.1136
In: 0.8321 0.4384 0.7846
Sb: 0.4122 0.7162 0.8962
Sb: 0.6202 0.1137 0.8271
Sb: 0.9094 0.2115 0.3930
O: 0.0486 0.1315 0.1707
O: 0.0846 0.2282 0.8091
O: 0.1261 0.0746 0.4850
O: 0.1958 0.8585 0.7999
O: 0.2365 0.7107 0.4780
O: 0.2752 0.8028 0.1134
O: 0.3241 0.4915 0.0295
O: 0.3269 0.3866 0.4060
O: 0.4220 0.2986 0.7277
O: 0.4248 0.1240 0.0541
O: 0.4878 0.0445 0.3887
O: 0.4999 0.9518 0.7733
O: 0.5442 0.6380 0.6728
O: 0.5825 0.7217 0.3069
O: 0.6316 0.5794 0.9841
O: 0.6901 0.3535 0.3073
O: 0.7261 0.2141 0.9707
O: 0.7745 0.2798 0.6300
O: 0.8158 0.9065 0.8866
O: 0.8185 0.9924 0.5209
O: 0.9087 0.7986 0.2091
O: 0.9133 0.6326 0.5617
O: 0.9917 0.5552 0.8892
O: 0.9960 0.4338 0.2688

Results
total energy	-6.110	eV per atom
formation energy (no corrections)	-1.57	eV/atom
spin magnetization	0.0	μB per formula unit

---

Entry 6:
The following is a DFT calculation (PBEsol) of a geometry-optimized In3Sb5O12 structure.

a = 10.5442 Å, b = 10.5442 Å, c = 10.5442 Å
α = 90.00°, β = 90.00°, γ = 90.00°
Space group I-43m (No. 217)
Symmetry-distinct sites (fractional):
In: 0.0000 0.2500 0.5000
Sb: 0.0000 0.0000 0.2805
Sb: 0.2397 0.2397 0.7603
O: 0.0997 0.3957 0.3957
O: 0.1372 0.1372 0.3398

Results
total energy	-6.174	eV per atom
formation energy (no corrections)	-1.44	eV/atom
spin magnetization	0.0	μB per formula unit

---

Entry 7:
The following is a DFT calculation (PBEsol) of a geometry-optimized SrInSbO2 structure.

a = 4.4729 Å, b = 4.4729 Å, c = 6.5345 Å
α = 90.00°, β = 90.00°, γ = 90.00°
Space group P4/mmm (No. 123)
Symmetry-distinct sites (fractional):
Sr: 0.0000 0.0000 0.0000
In: 0.5000 0.5000 0.5000
Sb: 0.0000 0.0000 0.5000
O: 0.0000 0.5000 0.0000

Results
total energy	-4.187	eV per atom
formation energy (no corrections)	-0.21	eV/atom
spin magnetization	1.9	μB per formula unit

---

Entry 8:
The following is a DFT calculation (PBEsol) of a geometry-optimized InSb2TeO structure.

a = 4.7041 Å, b = 4.7041 Å, c = 5.1017 Å
α = 90.00°, β = 90.00°, γ = 90.00°
Space group P4/mmm (No. 123)
Symmetry-distinct sites (fractional):
In: 0.0000 0.0000 0.0000
Sb: 0.0000 0.5000 0.5000
Te: 0.5000 0.5000 0.0000
O: 0.5000 0.5000 0.5000

Results
total energy	-4.214	eV per atom
formation energy (no corrections)	-0.04	eV/atom
spin magnetization	0.0	μB per formula unit

---

Entry 9:
The following is a DFT calculation (PBEsol) of a geometry-optimized ScInO2 structure.

a = 5.8307 Å, b = 5.8307 Å, c = 5.8307 Å
α = 90.00°, β = 90.00°, γ = 90.00°
Space group Fm-3m (No. 225)
Symmetry-distinct sites (fractional):
Sc: 0.0000 0.0000 0.0000
In: 0.0000 0.0000 0.5000
O: 0.2500 0.2500 0.2500

Results
total energy	-6.425	eV per atom
formation energy (no corrections)	-1.40	eV/atom
spin magnetization	0.0	μB per formula unit

---

Entry 10:
The following is a DFT calculation (PBEsol) of a geometry-optimized ScInO3 structure.

a = 3.4312 Å, b = 3.4312 Å, c = 12.5292 Å
α = 90.00°, β = 90.00°, γ = 120.00°
Space group P6_3/mmc (No. 194)
Symmetry-distinct sites (fractional):
Sc: 0.3333 0.6667 0.2500
In: 0.0000 0.0000 0.0000
O: 0.0000 0.0000 0.2500
O: 0.3333 0.6667 0.0818

Results
total energy	-7.591	eV per atom
formation energy (no corrections)	-2.52	eV/atom
spin magnetization	0.0	μB per formula unit

---

Entry 11:
The following is a DFT calculation (PBEsol) of a geometry-optimized InSeO2 structure.

a = 3.2890 Å, b = 3.2890 Å, c = 18.9988 Å
α = 90.00°, β = 90.00°, γ = 120.00°
Space group R-3m (No. 166, hexagonal axes)
Symmetry-distinct sites (fractional):
In: 0.0000 0.0000 0.0000
Se: 0.0000 0.0000 0.5000
O: 0.0000 0.0000 0.3908

Results
total energy	-5.293	eV per atom
energy above the lowest structure with this stoichiometry	0.000	eV/atom
formation energy (no corrections)	-0.96	eV/atom
spin magnetization	0.0	μB per formula unit

---

Entry 12:
The following is a DFT calculation (PBEsol) of a geometry-optimized InSeO2 structure.

a = 5.8773 Å, b = 5.8773 Å, c = 5.8773 Å
α = 90.00°, β = 90.00°, γ = 90.00°
Space group Fm-3m (No. 225)
Symmetry-distinct sites (fractional):
In: 0.0000 0.0000 0.0000
Se: 0.0000 0.0000 0.5000
O: 0.2500 0.2500 0.2500

Results
total energy	-4.238	eV per atom
energy above the lowest structure with this stoichiometry	1.054	eV/atom
formation energy (no corrections)	0.09	eV/atom
spin magnetization	0.0	μB per formula unit

---

Entry 13:
The following is a DFT calculation (PBEsol) of a geometry-optimized InSe3O structure.

a = 5.2184 Å, b = 5.2184 Å, c = 5.2184 Å
α = 90.00°, β = 90.00°, γ = 90.00°
Space group Pm-3m (No. 221)
Symmetry-distinct sites (fractional):
In: 0.0000 0.0000 0.0000
Se: 0.0000 0.0000 0.5000
O: 0.5000 0.5000 0.5000

Results
total energy	-2.887	eV per atom
formation energy (no corrections)	1.07	eV/atom
spin magnetization	3.6	μB per formula unit

---

Entry 14:
The following is a DFT calculation (PBEsol) of a geometry-optimized InSe2O structure.

a = 6.4585 Å, b = 6.4585 Å, c = 6.4585 Å
α = 90.00°, β = 90.00°, γ = 90.00°
Space group Fm-3m (No. 225)
Symmetry-distinct sites (fractional):
In: 0.0000 0.0000 0.0000
Se: 0.2500 0.2500 0.2500
O: 0.0000 0.0000 0.5000

Results
total energy	-3.623	eV per atom
formation energy (no corrections)	0.36	eV/atom
spin magnetization	0.3	μB per formula unit

---

Entry 15:
The following is a DFT calculation (PBEsol) of a geometry-optimized VInSe2O8 structure.

a = 4.7068 Å, b = 6.8306 Å, c = 10.5017 Å
α = 90.00°, β = 98.56°, γ = 90.00°
Space group Pm (No. 6)
Symmetry-distinct sites (fractional):
V: 0.0000 0.2493 0.0000
In: 0.0849 0.2499 0.4869
Se: 0.1859 0.5000 0.7716
Se: 0.3710 0.0000 0.2388
Se: 0.5188 0.5000 0.2910
Se: 0.6416 0.0000 0.6829
O: 0.0106 0.5000 0.6107
O: 0.0925 0.0000 0.9675
O: 0.1269 0.5000 0.0255
O: 0.1740 0.2006 0.1770
O: 0.2331 0.0000 0.3860
O: 0.2555 0.5000 0.3956
O: 0.4388 0.2015 0.6351
O: 0.6646 0.2492 0.0104
O: 0.7024 0.2978 0.3556
O: 0.8696 0.0000 0.5612
O: 0.9990 0.3011 0.8184

Results
total energy	-6.586	eV per atom
formation energy (no corrections)	-1.39	eV/atom
spin magnetization	0.0	μB per formula unit